This record from Alexandria via LeMat-Bulk describes a geometry-optimized GeAsIr2Pb structure. The functional is PBE.

Lattice parameters (Å, degrees): 5.163 5.163 5.124 90.00 90.00 90.00
Positions (direct):
Ge 0.000 0.000 0.000
As 0.500 0.500 0.000
Ir 0.000 0.500 0.500
Ir 0.500 0.000 0.500
Pb 0.000 0.000 0.500

Calculated values
The calculated volume is 136.6 Å³/f.u. The calculation puts the energy of formation from the pure elements at 1940 meV per atom. For the total energy, the calculation gives -4.200 eV/atom.